Compound: CaTlHI2
Source: Alexandria via LeMat-Bulk
Functional: PBE
Structure: relaxed

Calculated values
SG: P4/mmm (123)
Final energy (eV per atom): -2.9766

Lattice parameters (Å, degrees): 6.276 6.276 4.309 90.00 90.00 90.00
Sites, in units of the cell vectors:
Ca: 0.000 0.000 0.000
Tl: 0.500 0.500 0.500
H: 0.000 0.000 0.500
I: 0.000 0.500 0.000
I: 0.500 0.000 0.000


Compound: CaVH2I
Source: Alexandria via LeMat-Bulk
Functional: PBE
Structure: relaxed

Calculated values
SG: P4/mmm (123)
Final energy (eV per atom): -3.6697

Lattice parameters (Å, degrees): 4.196 4.196 6.511 90.00 90.00 90.00
Sites, in units of the cell vectors:
Ca: 0.000 0.000 0.000
V: 0.500 0.500 0.500
H: 0.000 0.500 0.000
H: 0.500 0.000 0.000
I: 0.000 0.000 0.500


Compound: CaIn2H2
Source: Alexandria via LeMat-Bulk
Functional: PBE
Structure: relaxed

Calculated values
SG: P4/mbm (127)
Final energy (eV per atom): -2.9513

Lattice parameters (Å, degrees): 6.397 6.397 4.539 90.00 90.00 90.00
Sites, in units of the cell vectors:
Ca: 0.000 0.000 0.000
Ca: 0.500 0.500 0.000
In: 0.181 0.319 0.500
In: 0.319 0.819 0.500
In: 0.681 0.181 0.500
In: 0.819 0.681 0.500
H: 0.193 0.307 0.000
H: 0.307 0.807 0.000
H: 0.693 0.193 0.000
H: 0.807 0.693 0.000


Compound: Ca2InH2
Source: Alexandria via LeMat-Bulk
Functional: PBE
Structure: relaxed

Calculated values
SG: I4/mmm (139)
Distance to the lowest polymorph of the same formula (meV per atom): 0.0

Lattice parameters (Å, degrees): 7.758 7.758 7.758 152.72 152.72 38.96
Sites, in units of the cell vectors:
Ca: 0.160 0.160 0.000
Ca: 0.840 0.840 0.000
In: 0.500 0.500 0.000
H: 0.250 0.750 0.500
H: 0.750 0.250 0.500


Compound: Ca3In5H12
Source: Alexandria via LeMat-Bulk
Functional: PBE
Structure: relaxed

Calculated values
SG: Ia-3d (230)
Final energy (eV per atom): -2.8953

Lattice parameters (Å, degrees): 11.409 11.409 11.409 109.47 109.47 109.47
Sites, in units of the cell vectors:
Ca: 0.125 0.250 0.375
Ca: 0.125 0.375 0.750
Ca: 0.250 0.375 0.125
Ca: 0.250 0.875 0.625
Ca: 0.375 0.125 0.250
Ca: 0.375 0.750 0.125
Ca: 0.625 0.250 0.875
Ca: 0.625 0.875 0.750
Ca: 0.750 0.125 0.375
Ca: 0.750 0.625 0.875
Ca: 0.875 0.625 0.250
Ca: 0.875 0.750 0.625
In: 0.000 0.000 0.000
In: 0.000 0.000 0.500
In: 0.000 0.500 0.000
In: 0.000 0.500 0.500
In: 0.125 0.750 0.875
In: 0.125 0.875 0.250
In: 0.250 0.125 0.875
In: 0.250 0.625 0.375
In: 0.375 0.250 0.625
In: 0.375 0.625 0.750
In: 0.500 0.000 0.000
In: 0.500 0.000 0.500
In: 0.500 0.500 0.000
In: 0.500 0.500 0.500
In: 0.625 0.375 0.250
In: 0.625 0.750 0.375
In: 0.750 0.375 0.625
In: 0.750 0.875 0.125
In: 0.875 0.125 0.750
In: 0.875 0.250 0.125
H: 0.052 0.255 0.152
H: 0.052 0.297 0.900
H: 0.100 0.652 0.397
H: 0.100 0.948 0.703
H: 0.103 0.755 0.703
H: 0.103 0.848 0.400
H: 0.152 0.052 0.255
H: 0.152 0.600 0.897
H: 0.203 0.255 0.603
H: 0.203 0.448 0.600
H: 0.245 0.297 0.897
H: 0.245 0.448 0.348
H: 0.255 0.152 0.052
H: 0.255 0.603 0.203
H: 0.297 0.897 0.245
H: 0.297 0.900 0.052
H: 0.348 0.245 0.448
H: 0.348 0.603 0.900
H: 0.397 0.100 0.652
H: 0.397 0.797 0.745
H: 0.400 0.103 0.848
H: 0.400 0.797 0.552
H: 0.448 0.348 0.245
H: 0.448 0.600 0.203
H: 0.552 0.400 0.797
H: 0.552 0.652 0.755
H: 0.600 0.203 0.448
H: 0.600 0.897 0.152
H: 0.603 0.203 0.255
H: 0.603 0.900 0.348
H: 0.652 0.397 0.100
H: 0.652 0.755 0.552
H: 0.703 0.100 0.948
H: 0.703 0.103 0.755
H: 0.745 0.397 0.797
H: 0.745 0.848 0.948
H: 0.755 0.552 0.652
H: 0.755 0.703 0.103
H: 0.797 0.552 0.400
H: 0.797 0.745 0.397
H: 0.848 0.400 0.103
H: 0.848 0.948 0.745
H: 0.897 0.152 0.600
H: 0.897 0.245 0.297
H: 0.900 0.052 0.297
H: 0.900 0.348 0.603
H: 0.948 0.703 0.100
H: 0.948 0.745 0.848


Compound: Ca12In3H5
Source: Alexandria via LeMat-Bulk
Functional: PBE
Structure: relaxed

Calculated values
SG: Ia-3d (230)
Final energy (eV per atom): -2.7487

Lattice parameters (Å, degrees): 14.107 14.107 14.107 109.47 109.47 109.47
Sites, in units of the cell vectors:
Ca: 0.016 0.208 0.115
Ca: 0.016 0.308 0.901
Ca: 0.092 0.708 0.692
Ca: 0.092 0.885 0.401
Ca: 0.099 0.615 0.408
Ca: 0.099 0.984 0.692
Ca: 0.115 0.016 0.208
Ca: 0.115 0.599 0.908
Ca: 0.192 0.208 0.592
Ca: 0.192 0.484 0.599
Ca: 0.208 0.115 0.016
Ca: 0.208 0.592 0.192
Ca: 0.292 0.308 0.908
Ca: 0.292 0.484 0.385
Ca: 0.308 0.901 0.016
Ca: 0.308 0.908 0.292
Ca: 0.385 0.292 0.484
Ca: 0.385 0.592 0.901
Ca: 0.401 0.092 0.885
Ca: 0.401 0.808 0.516
Ca: 0.408 0.099 0.615
Ca: 0.408 0.808 0.792
Ca: 0.484 0.385 0.292
Ca: 0.484 0.599 0.192
Ca: 0.516 0.401 0.808
Ca: 0.516 0.615 0.708
Ca: 0.592 0.192 0.208
Ca: 0.592 0.901 0.385
Ca: 0.599 0.192 0.484
Ca: 0.599 0.908 0.115
Ca: 0.615 0.408 0.099
Ca: 0.615 0.708 0.516
Ca: 0.692 0.092 0.708
Ca: 0.692 0.099 0.984
Ca: 0.708 0.516 0.615
Ca: 0.708 0.692 0.092
Ca: 0.792 0.408 0.808
Ca: 0.792 0.885 0.984
Ca: 0.808 0.516 0.401
Ca: 0.808 0.792 0.408
Ca: 0.885 0.401 0.092
Ca: 0.885 0.984 0.792
Ca: 0.901 0.016 0.308
Ca: 0.901 0.385 0.592
Ca: 0.908 0.115 0.599
Ca: 0.908 0.292 0.308
Ca: 0.984 0.692 0.099
Ca: 0.984 0.792 0.885
In: 0.125 0.250 0.375
In: 0.125 0.375 0.750
In: 0.250 0.375 0.125
In: 0.250 0.875 0.625
In: 0.375 0.125 0.250
In: 0.375 0.750 0.125
In: 0.625 0.250 0.875
In: 0.625 0.875 0.750
In: 0.750 0.125 0.375
In: 0.750 0.625 0.875
In: 0.875 0.625 0.250
In: 0.875 0.750 0.625
H: 0.000 0.000 0.000
H: 0.000 0.000 0.500
H: 0.000 0.500 0.000
H: 0.000 0.500 0.500
H: 0.125 0.750 0.875
H: 0.125 0.875 0.250
H: 0.250 0.125 0.875
H: 0.250 0.625 0.375
H: 0.375 0.250 0.625
H: 0.375 0.625 0.750
H: 0.500 0.000 0.000
H: 0.500 0.000 0.500
H: 0.500 0.500 0.000
H: 0.500 0.500 0.500
H: 0.625 0.375 0.250
H: 0.625 0.750 0.375
H: 0.750 0.375 0.625
H: 0.750 0.875 0.125
H: 0.875 0.125 0.750
H: 0.875 0.250 0.125


Quick rundown of magnetization, same order as above: 0.0 4.0 0.0 0.3 0.0 0.0 μB per formula unit